BaVI2O | PBE+U | optimized geometry

Values from the calculation:
symmetry: P4/mmm (123)
total magnetization: 0.86 Bohr magnetons per cell
electronic total energy: -0.11754 hartree per atom

abc: 6.712 6.712 4.489
angles: 90.00 90.00 90.00
Each line ends with the local moment (μB).
Fractional coordinates of all 5 atoms:
I 0.500 0.000 0.000  0.01
Ba 0.000 0.000 0.000  0.00
O 0.000 0.000 0.500  0.00
I 0.000 0.500 0.000  0.01
V 0.500 0.500 0.500  -0.74